# Fe2TcRu | Alexandria via LeMat-Bulk | PBE-GGA | relaxed
data_Fe2TcRu
_space_group_name_H-M_alt 'P 1'
_space_group_IT_number 1
_cell_length_a 4.972
_cell_length_b 4.972
_cell_length_c 2.609
_cell_angle_alpha 78.96
_cell_angle_beta 78.96
_cell_angle_gamma 117.23
loop_
_space_group_symop_operation_xyz
'x,y,z'
loop_
_atom_site_label
_atom_site_type_symbol
_atom_site_fract_x
_atom_site_fract_y
_atom_site_fract_z
Fe1 Fe 0.000 0.000 0.000
Fe2 Fe 0.500 0.500 0.000
Ru1 Ru 0.500 0.000 0.500
Tc1 Tc 0.000 0.500 0.500
# crystal system = monoclinic
# ΔE to the lowest computed polymorph = 0.116 eV/atom
# E = -35.723 eV per formula unit
# energy relative to the elements = 0.211 eV per atom
# size of the total moment = 5.81 μB per formula unit
# SG = C2/m, No. 12